Run A
# Sm3Tm2Th | the Alexandria database | PBE-GGA | relaxed
# Size of the total moment: 0.000 μB per atom
# Fermi-level density of states: 7.52 states/eV/f.u.
data_Sm3Tm2Th
_chemical_formula_sum 'Sm12 Tm8 Th4'
_space_group_name_H-M_alt 'C m c 21'
_space_group_IT_number 36
_cell_length_a 9.4552
_cell_length_b 12.3766
_cell_length_c 6.8647
_cell_angle_alpha 90.00
_cell_angle_beta 90.00
_cell_angle_gamma 90.00
loop_
_space_group_symop_operation_xyz
'x,y,z'
'-x,-y,z+1/2'
'-x,y,z'
'x,-y,z+1/2'
'x+1/2,y+1/2,z'
'-x+1/2,-y+1/2,z+1/2'
'-x+1/2,y+1/2,z'
'x+1/2,-y+1/2,z+1/2'
loop_
_atom_site_label
_atom_site_type_symbol
_atom_site_fract_x
_atom_site_fract_y
_atom_site_fract_z
Sm1 Sm 0.0000 0.1425 0.0000
Sm2 Sm 0.1718 0.3553 0.2484
Tm1 Tm 0.1701 0.3774 0.7516
Th1 Th 0.0000 0.1491 0.4998

---

Run B
# Sm3Tm2Th | the Alexandria database | PBE-GGA | relaxed
# Size of the total moment: 0.000 μB per atom
# Fermi-level density of states: 10.69 states/eV/f.u.
data_Sm3Tm2Th
_chemical_formula_sum 'Sm12 Tm8 Th4'
_space_group_name_H-M_alt 'I b a m'
_space_group_IT_number 72
_space_group_name_Hall '-I 2 2c'
_cell_length_a 10.9773
_cell_length_b 12.0281
_cell_length_c 6.8547
_cell_angle_alpha 90.00
_cell_angle_beta 90.00
_cell_angle_gamma 90.00
loop_
_atom_site_label
_atom_site_type_symbol
_atom_site_fract_x
_atom_site_fract_y
_atom_site_fract_z
Sm1 Sm 0.0000 0.0000 0.2500
Sm2 Sm 0.0000 0.2676 0.2500
Tm1 Tm 0.2429 0.1908 0.0000
Th1 Th 0.0000 0.5000 0.0000

---

Verdict on stability: run A comes out on top.

---

Run A
# SmTmTh | the Alexandria database | PBE-GGA | relaxed
# Size of the total moment: 0.000 μB per atom
# Fermi-level density of states: 4.70 states/eV/f.u.
data_SmTmTh
_chemical_formula_sum 'Sm2 Tm2 Th2'
_space_group_name_H-M_alt 'P 1 21/m 1'
_space_group_IT_number 11
_cell_length_a 3.6000
_cell_length_b 5.7832
_cell_length_c 9.4929
_cell_angle_alpha 90.00
_cell_angle_beta 100.90
_cell_angle_gamma 90.00
loop_
_space_group_symop_operation_xyz
'x,y,z'
'-x,-y,-z'
'-x,y+1/2,-z'
'x,-y+1/2,z'
loop_
_atom_site_label
_atom_site_type_symbol
_atom_site_fract_x
_atom_site_fract_y
_atom_site_fract_z
Sm1 Sm 0.0559 0.2500 0.1133
Tm1 Tm 0.3868 0.2500 0.7729
Th1 Th 0.2743 0.7500 0.5499

---

Run B
# SmTmTh | the Alexandria database | PBE-GGA | relaxed
# Size of the total moment: 0.000 μB per atom
# Fermi-level density of states: 4.57 states/eV/f.u.
data_SmTmTh
_chemical_formula_sum 'Sm6 Tm6 Th6'
_space_group_name_H-M_alt 'R -3 m'
_space_group_IT_number 166
_space_group_name_Hall '-R 3 2"'
_cell_length_a 3.5784
_cell_length_b 3.5784
_cell_length_c 52.1559
_cell_angle_alpha 90.00
_cell_angle_beta 90.00
_cell_angle_gamma 120.00
loop_
_atom_site_label
_atom_site_type_symbol
_atom_site_fract_x
_atom_site_fract_y
_atom_site_fract_z
Sm1 Sm 0.0000 0.0000 0.1953
Tm1 Tm 0.0000 0.0000 0.0822
Th1 Th 0.0000 0.0000 0.3607

---

Run C
# SmTmTh | the Alexandria database | PBE-GGA | relaxed
# Size of the total moment: 0.000 μB per atom
# Fermi-level density of states: 3.78 states/eV/f.u.
data_SmTmTh
_chemical_formula_sum 'Sm4 Tm4 Th4'
_space_group_name_H-M_alt 'P 21 3'
_space_group_IT_number 198
_space_group_name_Hall 'P 2ac 2ab 3'
_cell_length_a 7.4759
_cell_length_b 7.4759
_cell_length_c 7.4759
_cell_angle_alpha 90.00
_cell_angle_beta 90.00
_cell_angle_gamma 90.00
loop_
_atom_site_label
_atom_site_type_symbol
_atom_site_fract_x
_atom_site_fract_y
_atom_site_fract_z
Sm1 Sm 0.1935 0.1935 0.1935
Tm1 Tm 0.0167 0.9833 0.4833
Th1 Th 0.1501 0.3499 0.6501

---

Verdict on stability: run B comes out on top.

---

Run A
# SmTm3Th2 | the Alexandria database | PBE-GGA | relaxed
# Size of the total moment: 0.000 μB per atom
# Fermi-level density of states: 7.76 states/eV/f.u.
data_SmTm3Th2
_chemical_formula_sum 'Sm4 Tm12 Th8'
_space_group_name_H-M_alt 'C m c m'
_space_group_IT_number 63
_space_group_name_Hall '-C 2c 2'
_cell_length_a 6.9132
_cell_length_b 11.3231
_cell_length_c 11.3279
_cell_angle_alpha 90.00
_cell_angle_beta 90.00
_cell_angle_gamma 90.00
loop_
_atom_site_label
_atom_site_type_symbol
_atom_site_fract_x
_atom_site_fract_y
_atom_site_fract_z
Sm1 Sm 0.0000 0.0016 0.2500
Tm1 Tm 0.0000 0.4985 0.7500
Tm2 Tm 0.2499 0.2484 0.7500
Th1 Th 0.2427 0.5000 0.0000

---

Run B
# SmTm3Th2 | the Alexandria database | PBE-GGA | relaxed
# Size of the total moment: 0.000 μB per atom
# Fermi-level density of states: 9.20 states/eV/f.u.
data_SmTm3Th2
_chemical_formula_sum 'Sm4 Tm12 Th8'
_space_group_name_H-M_alt 'C 1 2/m 1'
_space_group_IT_number 12
_cell_length_a 23.3447
_cell_length_b 3.4406
_cell_length_c 10.1069
_cell_angle_alpha 90.00
_cell_angle_beta 108.25
_cell_angle_gamma 90.00
loop_
_space_group_symop_operation_xyz
'x,y,z'
'-x,-y,-z'
'-x,y,-z'
'x,-y,z'
'x+1/2,y+1/2,z'
'-x+1/2,-y+1/2,-z'
'-x+1/2,y+1/2,-z'
'x+1/2,-y+1/2,z'
loop_
_atom_site_label
_atom_site_type_symbol
_atom_site_fract_x
_atom_site_fract_y
_atom_site_fract_z
Sm1 Sm 0.1864 0.0000 0.0368
Tm1 Tm 0.0582 0.0000 0.4439
Tm2 Tm 0.0670 0.5000 0.7694
Tm3 Tm 0.1937 0.0000 0.7102
Th1 Th 0.0704 0.5000 0.1377
Th2 Th 0.1907 0.0000 0.3764

---

Verdict on stability: run B comes out on top.

---

Run A
# SmTm6Th2 | the Alexandria database | PBE-GGA | relaxed
# Size of the total moment: 0.000 μB per atom
# Fermi-level density of states: 18.44 states/eV/f.u.
data_SmTm6Th2
_chemical_formula_sum 'Sm1 Tm6 Th2'
_space_group_name_H-M_alt 'P -6 m 2'
_space_group_IT_number 187
_space_group_name_Hall 'P -6 2'
_cell_length_a 3.5443
_cell_length_b 3.5443
_cell_length_c 26.0599
_cell_angle_alpha 90.00
_cell_angle_beta 90.00
_cell_angle_gamma 120.00
loop_
_atom_site_label
_atom_site_type_symbol
_atom_site_fract_x
_atom_site_fract_y
_atom_site_fract_z
Sm1 Sm 0.0000 0.0000 0.0000
Tm1 Tm 0.0000 0.0000 0.2168
Tm2 Tm 0.0000 0.0000 0.4370
Tm3 Tm 0.3333 0.6667 0.1110
Th1 Th 0.3333 0.6667 0.3293

---

Run B
# SmTm6Th2 | the Alexandria database | PBE-GGA | relaxed
# Size of the total moment: 0.000 μB per atom
# Fermi-level density of states: 12.02 states/eV/f.u.
data_SmTm6Th2
_chemical_formula_sum 'Sm4 Tm24 Th8'
_space_group_name_H-M_alt 'C 1 2/c 1'
_space_group_IT_number 15
_cell_length_a 12.6299
_cell_length_b 14.1157
_cell_length_c 6.5391
_cell_angle_alpha 90.00
_cell_angle_beta 101.62
_cell_angle_gamma 90.00
loop_
_space_group_symop_operation_xyz
'x,y,z'
'-x,-y,-z'
'-x,y,-z+1/2'
'x,-y,z+1/2'
'x+1/2,y+1/2,z'
'-x+1/2,-y+1/2,-z'
'-x+1/2,y+1/2,-z+1/2'
'x+1/2,-y+1/2,z+1/2'
loop_
_atom_site_label
_atom_site_type_symbol
_atom_site_fract_x
_atom_site_fract_y
_atom_site_fract_z
Sm1 Sm 0.0000 0.1156 0.2500
Tm1 Tm 0.0349 0.3090 0.0034
Tm2 Tm 0.1373 0.0865 0.8174
Tm3 Tm 0.2413 0.3008 0.7307
Th1 Th 0.1349 0.4744 0.3787

---

Verdict on stability: run A comes out on top.

---

Run A
# SmTm8Th2 | the Alexandria database | PBE-GGA | relaxed
# Size of the total moment: 0.000 μB per atom
# Fermi-level density of states: 15.76 states/eV/f.u.
data_SmTm8Th2
_chemical_formula_sum 'Sm1 Tm8 Th2'
_space_group_name_H-M_alt 'P -1'
_space_group_IT_number 2
_cell_length_a 6.0893
_cell_length_b 7.8851
_cell_length_c 7.8861
_cell_angle_alpha 107.45
_cell_angle_beta 104.96
_cell_angle_gamma 97.61
loop_
_space_group_symop_operation_xyz
'x,y,z'
'-x,-y,-z'
loop_
_atom_site_label
_atom_site_type_symbol
_atom_site_fract_x
_atom_site_fract_y
_atom_site_fract_z
Sm1 Sm 0.0000 0.0000 0.0000
Tm1 Tm 0.1808 0.6355 0.7248
Tm2 Tm 0.2683 0.4570 0.0879
Tm3 Tm 0.3593 0.2710 0.4563
Tm4 Tm 0.4473 0.0904 0.8135
Th1 Th 0.0904 0.8181 0.3674

---

Run B
# SmTm8Th2 | the Alexandria database | PBE-GGA | relaxed
# Size of the total moment: 0.000 μB per atom
# Fermi-level density of states: 14.47 states/eV/f.u.
data_SmTm8Th2
_chemical_formula_sum 'Sm2 Tm16 Th4'
_space_group_name_H-M_alt 'C 1 2/m 1'
_space_group_IT_number 12
_cell_length_a 8.9680
_cell_length_b 15.9671
_cell_length_c 5.9022
_cell_angle_alpha 90.00
_cell_angle_beta 124.22
_cell_angle_gamma 90.00
loop_
_space_group_symop_operation_xyz
'x,y,z'
'-x,-y,-z'
'-x,y,-z'
'x,-y,z'
'x+1/2,y+1/2,z'
'-x+1/2,-y+1/2,-z'
'-x+1/2,y+1/2,-z'
'x+1/2,-y+1/2,z'
loop_
_atom_site_label
_atom_site_type_symbol
_atom_site_fract_x
_atom_site_fract_y
_atom_site_fract_z
Sm1 Sm 0.0000 0.0000 0.0000
Tm1 Tm 0.0000 0.2083 0.0000
Tm2 Tm 0.0693 0.5000 0.7946
Tm3 Tm 0.2190 0.1193 0.6813
Th1 Th 0.0000 0.3069 0.5000

---

Verdict on stability: run A comes out on top.

---

Run A
# Sm6Tm12Th | the Alexandria database | PBE-GGA | relaxed
# Size of the total moment: 0.000 μB per atom
# Fermi-level density of states: 29.96 states/eV/f.u.
data_Sm6Tm12Th
_chemical_formula_sum 'Sm18 Tm36 Th3'
_space_group_name_H-M_alt 'R -3'
_space_group_IT_number 148
_space_group_name_Hall '-R 3'
_cell_length_a 11.8941
_cell_length_b 11.8941
_cell_length_c 14.9799
_cell_angle_alpha 90.00
_cell_angle_beta 90.00
_cell_angle_gamma 120.00
loop_
_atom_site_label
_atom_site_type_symbol
_atom_site_fract_x
_atom_site_fract_y
_atom_site_fract_z
Sm1 Sm 0.0092 0.5885 0.1741
Tm1 Tm 0.0281 0.1819 0.6903
Tm2 Tm 0.0419 0.1860 0.9147
Th1 Th 0.0000 0.0000 0.5000

---

Run B
# Sm6Tm12Th | the Alexandria database | PBE-GGA | relaxed
# Size of the total moment: 0.000 μB per atom
# Fermi-level density of states: 33.84 states/eV/f.u.
data_Sm6Tm12Th
_chemical_formula_sum 'Sm18 Tm36 Th3'
_space_group_name_H-M_alt 'R -3 m'
_space_group_IT_number 166
_space_group_name_Hall '-R 3 2"'
_cell_length_a 13.2016
_cell_length_b 13.2016
_cell_length_c 12.2894
_cell_angle_alpha 90.00
_cell_angle_beta 90.00
_cell_angle_gamma 120.00
loop_
_atom_site_label
_atom_site_type_symbol
_atom_site_fract_x
_atom_site_fract_y
_atom_site_fract_z
Sm1 Sm 0.0368 0.5184 0.1209
Tm1 Tm 0.0000 0.2559 0.0000
Tm2 Tm 0.0902 0.1804 0.7580
Th1 Th 0.0000 0.0000 0.5000

---

Verdict on stability: run A comes out on top.